TeAs2 at its PBEsol-relaxed geometry, computed with meta-GGA SCAN.

a = 4.7679 Å, b = 4.7679 Å, c = 4.7679 Å
α = 60.00°, β = 60.00°, γ = 60.00°
Positions (direct):
Te: 0.0000 0.0000 0.0000
As: 0.2500 0.2500 0.2500
As: 0.7500 0.7500 0.7500

Results
The calculation puts the theoretical density at 6.0 g cm⁻³. The value obtained for the uncorrected formation energy is 1.9 eV per formula unit. The space group is Fm-3m (225). The magnetic moment comes out at 0.00 μB per cell. Its crystal system is cubic. As for the total energy: -25.2343 eV/atom.


InOs2Au at its PBEsol-relaxed geometry, computed with meta-GGA SCAN.

a = 2.7995 Å, b = 2.7995 Å, c = 9.3668 Å
α = 90.00°, β = 90.00°, γ = 118.49°
Positions (direct):
In: 0.0000 0.0000 0.0000
Os: 0.5000 0.5000 0.2481
Os: 0.5000 0.5000 0.7519
Au: 0.0000 0.0000 0.5000

Results
The calculation puts the theoretical density at 17.8 g cm⁻³. For the formation energy, the calculation gives 0.847 eV/atom. The space group is Cmmm (65). The magnetic moment comes out at 0.00 μB per cell. Its crystal system is orthorhombic. As for the total energy: -60.7284 eV/atom.


SrInPO2 at its PBEsol-relaxed geometry, computed with meta-GGA SCAN.

a = 4.4028 Å, b = 4.4028 Å, c = 5.9637 Å
α = 90.00°, β = 90.00°, γ = 90.00°
Positions (direct):
Sr: 0.0000 0.0000 0.0000
In: 0.5000 0.5000 0.5000
P: 0.0000 0.0000 0.5000
O: 0.0000 0.5000 0.0000
O: 0.5000 0.0000 0.0000

Results
The calculation puts the theoretical density at 3.8 g cm⁻³. The value obtained for the uncorrected formation energy is -0.6 eV per formula unit. The space group is P4/mmm (123). The magnetic moment comes out at 2.59 μB per cell. Its crystal system is tetragonal. As for the total energy: -15.8254 eV/atom.


AlInN2O at its PBEsol-relaxed geometry, computed with meta-GGA SCAN.

a = 3.8260 Å, b = 3.8260 Å, c = 3.6498 Å
α = 90.00°, β = 90.00°, γ = 90.00°
Positions (direct):
Al: 0.0000 0.0000 0.0000
In: 0.5000 0.5000 0.5000
N: 0.0000 0.5000 0.0000
N: 0.5000 0.0000 0.0000
O: 0.0000 0.0000 0.5000

Results
The calculation puts the theoretical density at 5.8 g cm⁻³. The value obtained for the uncorrected formation energy is -1.0 eV per formula unit. The space group is P4/mmm (123). The magnetic moment comes out at 2.09 μB per cell. Its crystal system is tetragonal. As for the total energy: -13.3893 eV/atom.


TbAsPd at its PBEsol-relaxed geometry, computed with meta-GGA SCAN.

a = 6.9648 Å, b = 4.1076 Å, c = 7.8340 Å
α = 90.00°, β = 90.00°, γ = 90.00°
Positions (direct):
Tb: 0.0269 0.2500 0.1907
Tb: 0.4731 0.7500 0.6907
Tb: 0.5269 0.2500 0.3093
Tb: 0.9731 0.7500 0.8093
As: 0.2464 0.7500 0.3801
As: 0.2536 0.2500 0.8801
As: 0.7464 0.7500 0.1199
As: 0.7536 0.2500 0.6199
Pd: 0.1428 0.2500 0.5617
Pd: 0.3572 0.7500 0.0617
Pd: 0.6428 0.2500 0.9383
Pd: 0.8572 0.7500 0.4383

Results
The calculation puts the theoretical density at 10.1 g cm⁻³. For the formation energy, the calculation gives -1.319 eV/atom. The space group is Pnma (62). The magnetic moment comes out at 0.00 μB per cell. Its crystal system is orthorhombic. As for the total energy: -34.5615 eV/atom.


Ba2MnReO6 at its PBEsol-relaxed geometry, computed with meta-GGA SCAN.

a = 5.5770 Å, b = 5.5770 Å, c = 5.5770 Å
α = 60.00°, β = 60.00°, γ = 60.00°
Positions (direct):
Ba: 0.2500 0.2500 0.2500
Ba: 0.7500 0.7500 0.7500
Mn: 0.0000 0.0000 0.0000
Re: 0.5000 0.5000 0.5000
O: 0.2511 0.2511 0.7489
O: 0.2511 0.7489 0.2511
O: 0.2511 0.7489 0.7489
O: 0.7489 0.2511 0.2511
O: 0.7489 0.2511 0.7489
O: 0.7489 0.7489 0.2511

Results
The calculation puts the theoretical density at 8.3 g cm⁻³. The value obtained for the uncorrected formation energy is -23.9 eV per formula unit. The space group is Fm-3m (225). The magnetic moment comes out at 2.17 μB per cell. Its crystal system is cubic. As for the total energy: -22.9790 eV/atom.


MnIrBr2 at its PBEsol-relaxed geometry, computed with meta-GGA SCAN.

a = 4.6116 Å, b = 4.6116 Å, c = 4.6116 Å
α = 60.00°, β = 60.00°, γ = 60.00°
Positions (direct):
Mn: 0.0000 0.0000 0.0000
Ir: 0.5000 0.5000 0.5000
Br: 0.2500 0.2500 0.2500
Br: 0.7500 0.7500 0.7500

Results
The calculation puts the theoretical density at 9.7 g cm⁻³. The value obtained for the uncorrected formation energy is 3.0 eV per formula unit. The space group is Fm-3m (225). The magnetic moment comes out at 3.74 μB per cell. Its crystal system is cubic. As for the total energy: -31.3204 eV/atom.


RbLiZn2O3 at its PBEsol-relaxed geometry, computed with meta-GGA SCAN.

a = 10.2894 Å, b = 10.2894 Å, c = 3.4129 Å
α = 90.00°, β = 90.00°, γ = 90.00°
Positions (direct):
Rb: 0.1095 0.1095 0.0000
Rb: 0.3905 0.6095 0.5000
Rb: 0.6095 0.3905 0.5000
Rb: 0.8905 0.8905 0.0000
Li: 0.2004 0.7996 0.0000
Li: 0.2996 0.2996 0.5000
Li: 0.7004 0.7004 0.5000
Li: 0.7996 0.2004 0.0000
Zn: 0.0728 0.6724 0.5000
Zn: 0.1724 0.4272 0.0000
Zn: 0.3276 0.9272 0.5000
Zn: 0.4272 0.1724 0.0000
Zn: 0.5728 0.8276 0.0000
Zn: 0.6724 0.0728 0.5000
Zn: 0.8276 0.5728 0.0000
Zn: 0.9272 0.3276 0.5000
O: 0.1148 0.3445 0.5000
O: 0.1395 0.8605 0.5000
O: 0.1555 0.6148 0.0000
O: 0.3445 0.1148 0.5000
O: 0.3605 0.3605 0.0000
O: 0.3852 0.8445 0.0000
O: 0.6148 0.1555 0.0000
O: 0.6395 0.6395 0.0000
O: 0.6555 0.8852 0.5000
O: 0.8445 0.3852 0.0000
O: 0.8605 0.1395 0.5000
O: 0.8852 0.6555 0.5000

Results
The calculation puts the theoretical density at 5.0 g cm⁻³. The value obtained for the uncorrected formation energy is -11.8 eV per formula unit. The space group is P4_2/mnm (136). The magnetic moment comes out at 0.00 μB per cell. Its crystal system is tetragonal. As for the total energy: -11.5254 eV/atom.


Li8Zr7FeP12O48 at its PBEsol-relaxed geometry, computed with meta-GGA SCAN.

a = 8.8271 Å, b = 8.9177 Å, c = 12.4562 Å
α = 90.43°, β = 90.12°, γ = 90.02°
Positions (direct):
Li: 0.0000 0.0000 0.0000
Li: 0.0020 0.0526 0.3797
Li: 0.0698 0.5158 0.8768
Li: 0.0729 0.5627 0.5194
Li: 0.4941 0.0031 0.8737
Li: 0.5003 0.0568 0.5162
Li: 0.5744 0.5535 0.3777
Li: 0.5769 0.5069 0.0116
Zr: 0.0320 0.2363 0.5860
Zr: 0.0390 0.3212 0.0806
Zr: 0.0395 0.7364 0.3075
Zr: 0.5331 0.2362 0.3061
Zr: 0.5334 0.8232 0.0820
Zr: 0.5389 0.3221 0.8055
Zr: 0.5397 0.7403 0.5856
Fe: 0.0332 0.8178 0.8069
P: 0.1806 0.1767 0.8446
P: 0.1821 0.8798 0.5511
P: 0.2359 0.0297 0.1936
P: 0.3348 0.5296 0.1938
P: 0.3874 0.6774 0.8447
P: 0.3877 0.3831 0.5452
P: 0.6822 0.1803 0.0444
P: 0.6819 0.8798 0.3454
P: 0.7441 0.0235 0.7008
P: 0.8344 0.5302 0.6956
P: 0.8908 0.6794 0.0463
P: 0.8931 0.3787 0.3451
O: 0.1184 0.0243 0.8739
O: 0.1181 0.3032 0.9196
O: 0.1187 0.0379 0.5183
O: 0.1213 0.7635 0.4666
O: 0.1308 0.9504 0.2749
O: 0.1338 0.1089 0.1107
O: 0.1349 0.8332 0.6613
O: 0.1366 0.2214 0.7283
O: 0.2137 0.3866 0.5352
O: 0.2175 0.6662 0.8540
O: 0.2373 0.4154 0.1326
O: 0.2375 0.6434 0.2553
O: 0.3321 0.1442 0.2561
O: 0.3346 0.9151 0.1342
O: 0.3565 0.1789 0.8527
O: 0.3577 0.8874 0.5379
O: 0.4335 0.3449 0.6608
O: 0.4380 0.6096 0.1121
O: 0.4388 0.4503 0.2759
O: 0.4400 0.7184 0.7299
O: 0.4534 0.2604 0.4701
O: 0.4528 0.5385 0.5144
O: 0.4541 0.8003 0.9206
O: 0.4632 0.5241 0.8739
O: 0.6135 0.0254 0.0145
O: 0.6161 0.0358 0.3763
O: 0.6172 0.7589 0.4212
O: 0.6190 0.3012 0.9678
O: 0.6315 0.1119 0.7746
O: 0.6361 0.8383 0.2301
O: 0.6373 0.2248 0.1592
O: 0.6392 0.9486 0.6139
O: 0.7155 0.6754 0.0369
O: 0.7189 0.3853 0.3542
O: 0.7318 0.4135 0.7505
O: 0.7348 0.6393 0.6309
O: 0.8330 0.9139 0.7655
O: 0.8419 0.1377 0.6380
O: 0.8558 0.1726 0.0340
O: 0.8559 0.8857 0.3562
O: 0.9326 0.7109 0.1654
O: 0.9343 0.6057 0.7782
O: 0.9352 0.4466 0.6111
O: 0.9406 0.3368 0.2301
O: 0.9499 0.5188 0.0177
O: 0.9552 0.2569 0.4217
O: 0.9598 0.5338 0.3770
O: 0.9604 0.7970 0.9747

Results
The calculation puts the theoretical density at 3.2 g cm⁻³. The value obtained for the uncorrected formation energy is -216.5 eV per formula unit. The space group is P1 (1). The magnetic moment comes out at 5.85 μB per cell. Its crystal system is triclinic. As for the total energy: -11.7443 eV/atom.


Sr4P at its PBEsol-relaxed geometry, computed with meta-GGA SCAN.

a = 6.3074 Å, b = 6.3074 Å, c = 6.3074 Å
α = 109.47°, β = 109.47°, γ = 109.47°
Positions (direct):
Sr: 0.0000 0.0000 0.5000
Sr: 0.0000 0.5000 0.0000
Sr: 0.5000 0.0000 0.0000
Sr: 0.5000 0.5000 0.5000
P: 0.0000 0.0000 0.0000

Results
The calculation puts the theoretical density at 3.3 g cm⁻³. For the formation energy, the calculation gives -0.385 eV/atom. The space group is Im-3m (229). The magnetic moment comes out at 0.00 μB per cell. Its crystal system is cubic. As for the total energy: -20.2852 eV/atom.


We obtain DOS(E_F) values of 0.525, 0.991, 0.782, 0.311, 0.019, 0.422, 0.555, 0.000, 0.126, 0.710 states/eV per atom for the records listed above, in that order.